# LuCuBiIr (PBE-GGA, optimized geometry)
# Excess energy over the best structure of this formula in the dataset: 0.169 eV per atom
# Space-group type: F-43m, No. 216
data_LuCuBiIr
_chemical_formula_sum 'Lu1 Cu1 Bi1 Ir1'
_cell_length_a 4.7485
_cell_length_b 4.7485
_cell_length_c 4.7485
_cell_angle_alpha 60.00
_cell_angle_beta 60.00
_cell_angle_gamma 60.00
_symmetry_space_group_name_H-M 'P 1'
_symmetry_Int_Tables_number 1
loop_
_symmetry_equiv_pos_as_xyz
'x,y,z'
loop_
_atom_site_label
_atom_site_fract_x
_atom_site_fract_y
_atom_site_fract_z
Lu1 0.0000 0.0000 0.0000
Cu1 0.7500 0.7500 0.7500
Bi1 0.2500 0.2500 0.2500
Ir1 0.5000 0.5000 0.5000